# 1
TbSi2NiIr | PBE-GGA | optimized geometry

Structure (POSCAR):
```
TbSi2NiIr
1.0
3.991 0.000 0.000
0.000 3.991 0.000
-1.995 -1.995 5.004
Si Ir Ni Tb
2 1 1 1
direct
0.620 0.620 0.241
0.380 0.380 0.759
0.750 0.250 0.500
0.250 0.750 0.500
0.000 0.000 0.000
```

Calculated values
Size of the total moment = 0.00 μB per formula unit
V = 79.7 Å³ per cell
Space-group type = I-4m2, No. 119
E_tot = -6.96 eV/atom

***

# 2
TbSiNiIr | PBE-GGA | optimized geometry

Structure (POSCAR):
```
TbSiNiIr
1.0
3.898 0.000 0.000
0.000 4.050 0.000
-1.949 -2.025 4.717
Ni Ir Si Tb
1 1 1 1
direct
0.330 0.330 0.659
0.592 0.592 0.183
0.224 0.724 0.448
0.970 0.970 0.940
```

Calculated values
Size of the total moment = 0.00 μB per formula unit
V = 74.5 Å³ per cell
Space-group type = Imm2, No. 44
E_tot = -6.73 eV/atom

***

# 3
SiTcNiIr | PBE-GGA | optimized geometry

Structure (POSCAR):
```
SiTcNiIr
1.0
4.173 0.000 0.000
2.087 3.614 0.000
2.087 1.205 3.408
Ni Tc Ir Si
1 1 1 1
direct
0.250 0.250 0.250
0.000 0.000 0.000
0.500 0.500 0.500
0.750 0.750 0.750
```

Calculated values
Size of the total moment = 0.00 μB per formula unit
V = 51.4 Å³ per cell
Space-group type = F-43m, No. 216
E_tot = -7.92 eV/atom

***

# 4
Th2Si3Ni4Ir | PBE-GGA | optimized geometry

Structure (POSCAR):
```
Th2Si3Ni4Ir
1.0
3.991 0.000 0.000
0.000 3.991 0.000
0.000 0.000 10.092
Si Ni Th Ir
3 4 2 1
direct
0.500 0.000 0.881
0.000 0.500 0.119
0.000 0.000 0.500
0.500 0.500 0.000
0.000 0.000 0.000
0.000 0.500 0.351
0.500 0.000 0.649
0.500 0.000 0.249
0.000 0.500 0.751
0.500 0.500 0.500
```

Calculated values
Size of the total moment = 0.00 μB per formula unit
V = 160.8 Å³ per cell
Space-group type = P-4m2, No. 115
E_tot = -7.03 eV/atom

***

# 5
ThSi2NiIr2 | PBE-GGA | optimized geometry

Structure (POSCAR):
```
ThSi2NiIr2
1.0
4.324 0.000 0.000
0.000 4.324 0.000
0.000 0.000 5.474
Si Th Ir Ni
2 1 2 1
direct
0.000 0.500 0.000
0.500 0.000 0.000
0.000 0.000 0.500
0.500 0.500 0.257
0.500 0.500 0.743
0.000 0.000 0.000
```

Calculated values
Size of the total moment = 0.00 μB per formula unit
V = 102.3 Å³ per cell
Space-group type = P4/mmm, No. 123
E_tot = -7.46 eV/atom

***

# 6
ThSiNiIr | PBE-GGA | optimized geometry

Structure (POSCAR):
```
ThSiNiIr
1.0
4.269 0.000 0.000
0.000 3.783 0.000
0.000 -1.891 4.464
Ir Si Ni Th
1 1 1 1
direct
0.000 0.899 0.798
0.000 0.587 0.175
0.500 0.509 0.019
0.500 0.232 0.465
```

Calculated values
Size of the total moment = 0.00 μB per formula unit
V = 72.1 Å³ per cell
Space-group type = Amm2, No. 38
E_tot = -7.41 eV/atom

***

# 7
TiSiNiIr | PBE-GGA | optimized geometry

Structure (POSCAR):
```
TiSiNiIr
1.0
-3.085 -2.052 2.040
0.859 -2.102 3.568
-1.418 1.460 3.708
Si Ti Ni Ir
1 1 1 1
direct
0.250 0.250 0.250
0.750 0.750 0.750
0.000 0.000 0.000
0.500 0.500 0.500
```

Calculated values
Size of the total moment = 0.05 μB per formula unit
V = 53.5 Å³ per cell
Space-group type = F-43m, No. 216
E_tot = -7.64 eV/atom

***

# 8
Tm2Si2NiIr5 | PBE-GGA | optimized geometry

Structure (POSCAR):
```
Tm2Si2NiIr5
1.0
-3.222 0.139 -1.395
0.418 -9.293 -1.892
-3.763 -1.901 8.506
Tm Ni Ir Si
4 2 10 4
direct
0.000 0.174 0.326
0.000 0.674 0.174
0.000 0.826 0.674
0.000 0.326 0.826
0.000 0.500 0.500
0.000 0.000 0.000
0.500 0.500 0.000
0.500 0.567 0.706
0.500 0.000 0.500
0.500 0.706 0.433
0.500 0.294 0.567
0.500 0.933 0.206
0.500 0.433 0.294
0.500 0.794 0.933
0.500 0.206 0.067
0.500 0.067 0.794
0.000 0.127 0.627
0.000 0.373 0.127
0.000 0.873 0.373
0.000 0.627 0.873
```

Calculated values
Size of the total moment = 0.67 μB per formula unit
V = 316.7 Å³ per cell
Space-group type = P4/mbm, No. 127
E_tot = -7.71 eV/atom

***

# 9
Tm2Si3Ni4Ir | PBE-GGA | optimized geometry

Structure (POSCAR):
```
Tm2Si3Ni4Ir
1.0
-2.622 -2.792 -0.456
0.144 -0.752 3.780
-7.364 6.654 1.603
Ni Si Tm Ir
4 3 2 1
direct
0.000 0.000 0.000
0.500 0.000 0.650
0.500 0.500 0.000
0.000 0.500 0.350
0.500 0.000 0.875
0.000 0.000 0.500
0.000 0.500 0.125
0.500 0.000 0.247
0.000 0.500 0.753
0.500 0.500 0.500
```

Calculated values
Size of the total moment = 0.00 μB per formula unit
V = 149.6 Å³ per cell
Space-group type = P-4m2, No. 115
E_tot = -6.44 eV/atom

***

# 10
Tm2Si4Ni3Ir | PBE-GGA | optimized geometry

Structure (POSCAR):
```
Tm2Si4Ni3Ir
1.0
3.927 0.000 0.000
0.000 3.927 0.000
0.000 0.000 9.713
Si Tm Ni Ir
4 2 3 1
direct
0.000 0.000 0.000
0.000 0.500 0.359
0.500 0.500 0.000
0.500 0.000 0.641
0.000 0.500 0.759
0.500 0.000 0.241
0.500 0.000 0.875
0.000 0.500 0.125
0.000 0.000 0.500
0.500 0.500 0.500
```

Calculated values
Size of the total moment = 0.00 μB per formula unit
V = 149.8 Å³ per cell
Space-group type = P-4m2, No. 115
E_tot = -6.59 eV/atom

***

# 11
TmSi3NiIr | PBE-GGA | optimized geometry

Structure (POSCAR):
```
TmSi3NiIr
1.0
-1.042 -1.140 5.201
5.374 -2.967 0.426
0.239 7.042 1.591
Ir Ni Tm Si
2 2 2 6
direct
0.250 0.387 0.773
0.750 0.613 0.227
0.750 0.952 0.905
0.250 0.048 0.095
0.750 0.184 0.368
0.250 0.816 0.632
0.250 0.214 0.428
0.000 0.285 0.000
0.500 0.715 0.000
0.000 0.715 0.000
0.750 0.786 0.572
0.500 0.285 0.000
```

Calculated values
Size of the total moment = 0.00 μB per formula unit
V = 218.2 Å³ per cell
Space-group type = Cmcm, No. 63
E_tot = -6.36 eV/atom

***

# 12
TmSiNiIr | PBE-GGA | optimized geometry

Structure (POSCAR):
```
TmSiNiIr
1.0
3.839 0.000 0.000
0.000 4.012 0.000
-1.920 -2.006 4.713
Tm Ir Ni Si
1 1 1 1
direct
0.970 0.970 0.941
0.590 0.590 0.180
0.330 0.330 0.659
0.225 0.725 0.450
```

Calculated values
Size of the total moment = 0.00 μB per formula unit
V = 72.6 Å³ per cell
Space-group type = Imm2, No. 44
E_tot = -6.70 eV/atom

***

# 13
TmSi2Ni2Ir | PBE-GGA | optimized geometry

Structure (POSCAR):
```
TmSi2Ni2Ir
1.0
-2.787 -0.898 3.435
3.542 -0.997 2.613
0.280 5.044 1.545
Si Tm Ni Ir
2 1 2 1
direct
0.500 0.000 0.000
0.000 0.500 0.000
0.000 0.000 0.500
0.500 0.500 0.753
0.500 0.500 0.247
0.000 0.000 0.000
```

Calculated values
Size of the total moment = 0.00 μB per formula unit
V = 107.6 Å³ per cell
Space-group type = P4/mmm, No. 123
E_tot = -6.07 eV/atom

***

# 14
U2Si4Ni3Ir | PBE-GGA | optimized geometry

Structure (POSCAR):
```
U2Si4Ni3Ir
1.0
3.974 0.000 0.000
0.000 3.974 0.000
0.000 0.000 9.628
Ni Ir Si U
3 1 4 2
direct
0.500 0.000 0.878
0.000 0.500 0.122
0.000 0.000 0.500
0.500 0.500 0.500
0.500 0.000 0.641
0.500 0.500 0.000
0.000 0.000 0.000
0.000 0.500 0.359
0.000 0.500 0.756
0.500 0.000 0.244
```

Calculated values
Size of the total moment = 3.74 μB per formula unit
V = 152.1 Å³ per cell
Space-group type = P-4m2, No. 115
E_tot = -7.69 eV/atom

***

# 15
USi2NiIr2 | PBE-GGA | optimized geometry

Structure (POSCAR):
```
USi2NiIr2
1.0
-3.890 -0.921 1.555
1.442 -3.806 1.354
1.368 2.200 4.726
Si U Ir Ni
2 1 2 1
direct
0.500 0.000 0.000
0.000 0.500 0.000
0.000 0.000 0.500
0.500 0.500 0.259
0.500 0.500 0.741
0.000 0.000 0.000
```

Calculated values
Size of the total moment = 2.20 μB per formula unit
V = 99.2 Å³ per cell
Space-group type = P4/mmm, No. 123
E_tot = -7.82 eV/atom

***

# 16
U2Si3NiIr4 | PBE-GGA | optimized geometry

Structure (POSCAR):
```
U2Si3NiIr4
1.0
4.028 0.000 0.000
0.000 4.028 0.000
0.000 0.000 10.239
U Si Ir Ni
2 3 4 1
direct
0.000 0.500 0.740
0.500 0.000 0.260
0.000 0.000 0.500
0.000 0.500 0.128
0.500 0.000 0.872
0.000 0.000 0.000
0.500 0.500 0.000
0.000 0.500 0.357
0.500 0.000 0.643
0.500 0.500 0.500
```

Calculated values
Size of the total moment = 3.19 μB per formula unit
V = 166.2 Å³ per cell
Space-group type = P-4m2, No. 115
E_tot = -8.69 eV/atom

***

# 17
U2Si6NiIr | PBE-GGA | optimized geometry

Structure (POSCAR):
```
U2Si6NiIr
1.0
5.791 0.000 0.000
2.896 5.016 0.000
2.896 1.672 11.641
Si Ir U Ni
12 2 4 2
direct
0.664 0.067 0.605
0.067 0.664 0.605
0.336 0.336 0.395
0.336 0.933 0.395
0.226 0.226 0.888
0.660 0.226 0.888
0.226 0.660 0.888
0.340 0.774 0.112
0.933 0.336 0.395
0.664 0.664 0.605
0.774 0.774 0.112
0.774 0.340 0.112
0.573 0.573 0.282
0.427 0.427 0.718
0.706 0.706 0.883
0.105 0.105 0.686
0.895 0.895 0.314
0.294 0.294 0.117
0.000 0.000 0.000
0.500 0.500 0.500
```

Calculated values
Size of the total moment = 0.57 μB per formula unit
V = 338.1 Å³ per cell
Space-group type = R-3m, No. 166
E_tot = -7.25 eV/atom

***

# 18
USi4Ni2Ir | PBE-GGA | optimized geometry

Structure (POSCAR):
```
USi4Ni2Ir
1.0
3.941 0.000 0.000
1.971 3.413 0.000
1.971 1.138 8.656
Si Ir Ni U
4 1 2 1
direct
0.401 0.401 0.798
0.879 0.879 0.363
0.599 0.599 0.202
0.121 0.121 0.637
0.500 0.500 0.500
0.240 0.240 0.281
0.760 0.760 0.719
0.000 0.000 0.000
```

Calculated values
Size of the total moment = 2.29 μB per formula unit
V = 116.4 Å³ per cell
Space-group type = R-3m, No. 166
E_tot = -7.04 eV/atom

***

# 19
YSi2Ni2Ir | PBE-GGA | optimized geometry

Structure (POSCAR):
```
YSi2Ni2Ir
1.0
4.518 0.000 0.000
0.000 4.518 0.000
0.000 0.000 5.352
Ir Ni Y Si
1 2 1 2
direct
0.000 0.000 0.000
0.500 0.500 0.245
0.500 0.500 0.755
0.000 0.000 0.500
0.500 0.000 0.000
0.000 0.500 0.000
```

Calculated values
Size of the total moment = 0.00 μB per formula unit
V = 109.2 Å³ per cell
Space-group type = P4/mmm, No. 123
E_tot = -6.41 eV/atom

***

# 20
Y2SiNiIr | PBE-GGA | optimized geometry

Structure (POSCAR):
```
Y2SiNiIr
1.0
-3.849 -0.141 -3.638
-1.814 -3.006 2.036
-2.765 3.557 2.788
Ir Ni Si Y
1 1 1 2
direct
0.500 0.500 0.500
0.000 0.500 0.000
0.000 0.000 0.000
0.000 0.000 0.500
0.500 0.000 0.000
```

Calculated values
Size of the total moment = 0.00 μB per formula unit
V = 113.9 Å³ per cell
Space-group type = P4/mmm, No. 123
E_tot = -6.52 eV/atom

***

no.,E_form (uncorrected) (eV/atom)
1,-0.932
2,-0.558
3,-0.311
4,-0.725
5,-0.502
6,-0.540
7,-0.649
8,-0.721
9,-0.716
10,-0.904
11,-0.466
12,-0.562
13,-0.111
14,-0.644
15,-0.217
16,-0.682
17,-0.279
18,-0.368
19,-0.118
20,0.083